Entry 1:
First-principles (meta-GGA SCAN) data for a PBEsol-optimized structure of NaP3PbO9, as listed in Alexandria via LeMat-Bulk.

## Properties
Calculated density   4.132 g/cm3
Size of the total moment   0.00 μB/atom
Space group   No. 19
ΔE_f (raw)   -32.4 eV per formula unit

Lattice parameters (Å, degrees): 5.673 10.902 12.141 90.00 90.00 90.00
Element x y z (fractional)
1 Pb 0.102 0.894 0.914
2 Pb 0.898 0.394 0.586
3 Pb 0.398 0.106 0.414
4 Pb 0.602 0.606 0.086
5 O 0.580 0.602 0.727
6 O 0.504 0.505 0.546
7 O 0.887 0.773 0.421
8 O 0.004 0.995 0.454
9 O 0.387 0.727 0.579
10 O 0.374 0.708 0.889
11 O 0.126 0.292 0.389
12 O 0.113 0.273 0.079
13 O 0.838 0.380 0.799
14 O 0.996 0.495 0.046
15 O 0.338 0.120 0.201
16 O 0.420 0.102 0.773
17 O 0.591 0.829 0.739
18 O 0.662 0.620 0.299
19 O 0.654 0.945 0.325
20 O 0.613 0.227 0.921
21 O 0.501 0.949 0.570
22 O 0.496 0.005 0.954
23 O 0.874 0.792 0.111
24 O 0.846 0.055 0.825
25 O 0.999 0.051 0.070
26 O 0.409 0.329 0.761
27 O 0.154 0.555 0.675
28 O 0.080 0.898 0.273
29 O 0.499 0.449 0.930
30 O 0.920 0.398 0.227
31 O 0.162 0.880 0.701
32 O 0.346 0.445 0.175
33 O 0.001 0.551 0.430
34 O 0.174 0.203 0.625
35 O 0.626 0.208 0.611
36 O 0.674 0.297 0.375
37 O 0.326 0.797 0.125
38 O 0.091 0.671 0.261
39 O 0.826 0.703 0.875
40 O 0.909 0.171 0.239
41 P 0.610 0.089 0.872
42 P 0.110 0.411 0.128
43 P 0.893 0.644 0.355
44 P 0.093 0.790 0.182
45 P 0.593 0.710 0.818
46 P 0.393 0.856 0.645
47 P 0.607 0.356 0.855
48 P 0.390 0.589 0.628
49 P 0.890 0.911 0.372
50 P 0.407 0.210 0.682
51 P 0.907 0.290 0.318
52 P 0.107 0.144 0.145
53 Na 0.897 0.033 0.635
54 Na 0.603 0.967 0.135
55 Na 0.103 0.533 0.865
56 Na 0.397 0.467 0.365

---

Entry 2:
First-principles (meta-GGA SCAN) data for a PBEsol-optimized structure of GaAg2H2, as listed in Alexandria via LeMat-Bulk.

## Properties
Calculated density   7.915 g/cm3
Size of the total moment   0.00 μB/atom
Space group   No. 139
E   -16.78 eV per atom

Lattice parameters (Å, degrees): 3.618 3.618 5.270 110.08 110.08 90.00
Element x y z (fractional)
1 Ag 0.345 0.345 0.689
2 Ag 0.655 0.655 0.311
3 H 0.250 0.750 0.500
4 H 0.750 0.250 0.500
5 Ga 0.000 0.000 0.000